Model w:
## CdSnSO (PBE)

Data for crystalline CdSnSO at its relaxed geometry.

Cell and atoms, written as POSCAR:
```
CdSnSO
1.0
4.154 0.000 0.000
0.000 4.154 0.000
0.000 0.000 9.445
Cd Sn S O
2 2 2 2
Cartesian
1.039 1.039 2.153
3.116 3.116 7.292
1.039 3.116 4.722
3.116 1.039 4.722
1.039 1.039 7.846
3.116 3.116 1.599
1.039 1.039 9.380
3.116 3.116 0.065
```

## Properties
The volume is 81 Å³/f.u. For the density, the calculation gives 5.7 g cm⁻³.

=====

Model x:
## CdSnSO (PBE)

Data for crystalline CdSnSO at its relaxed geometry.

Cell and atoms, written as POSCAR:
```
CdSnSO
1.0
7.260 0.000 0.000
0.000 7.300 0.000
0.000 0.000 12.027
Cd Sn S O
8 8 8 8
Cartesian
0.223 1.757 0.288
0.223 1.893 6.302
3.407 5.407 0.288
3.407 5.543 6.302
3.854 1.757 5.725
3.854 1.893 11.739
7.037 5.407 5.725
7.037 5.543 11.739
1.073 4.501 8.664
1.073 6.450 2.651
2.557 0.850 8.664
2.557 2.800 2.651
4.703 4.501 9.376
4.703 6.450 3.363
6.187 0.850 9.376
6.187 2.800 3.363
1.681 3.854 11.213
1.681 7.096 5.199
1.949 0.204 11.213
1.949 3.446 5.199
5.312 3.854 6.828
5.312 7.096 0.814
5.579 0.204 6.828
5.579 3.446 0.814
0.549 1.599 2.546
0.549 2.052 8.559
3.081 5.249 2.546
3.081 5.702 8.559
4.179 1.599 3.467
4.179 2.052 9.481
6.711 5.249 3.467
6.711 5.702 9.481
```

## Properties
The volume is 80 Å³/f.u. For the density, the calculation gives 5.8 g cm⁻³.

=====

Model y:
## CdSnSO (PBE)

Data for crystalline CdSnSO at its relaxed geometry.

Cell and atoms, written as POSCAR:
```
CdSnSO
1.0
6.230 0.000 0.000
0.000 7.656 0.000
0.000 0.000 8.096
Cd Sn S O
4 4 4 4
Cartesian
0.172 1.552 3.097
2.943 6.104 7.145
3.287 2.276 4.999
6.058 5.381 0.951
0.008 4.709 4.485
3.107 2.947 0.437
3.123 6.775 3.611
6.222 0.881 7.659
1.314 3.824 2.231
1.801 3.832 6.279
4.429 0.004 5.865
4.916 7.652 1.817
1.011 6.797 7.823
2.104 0.859 3.775
4.126 4.687 0.273
5.219 2.969 4.321
```

## Properties
The volume is 97 Å³/f.u. For the density, the calculation gives 4.8 g cm⁻³.

=====

Model z:
## CdSnSO (PBE)

Data for crystalline CdSnSO at its relaxed geometry.

Cell and atoms, written as POSCAR:
```
CdSnSO
1.0
3.986 0.000 0.000
0.000 3.986 0.000
0.000 0.000 11.187
Cd Sn S O
2 2 2 2
Cartesian
0.997 2.990 0.000
2.990 0.997 0.000
0.997 0.997 4.385
2.990 2.990 6.802
0.997 0.997 9.533
2.990 2.990 1.654
0.997 0.997 6.415
2.990 2.990 4.772
```

## Properties
The volume is 89 Å³/f.u. For the density, the calculation gives 5.2 g cm⁻³.

=====

How far above the most stable structure does each one sit? In kJ/mol of atoms: model w 54.1; model x 1.2; model y 0.0; model z 17.5.

=====

Model w:
## CdSnSO (PBE)

Data for crystalline CdSnSO at its relaxed geometry.

Cell and atoms, written as POSCAR:
```
CdSnSO
1.0
4.514 0.000 0.000
0.000 4.514 0.000
0.000 0.000 7.906
Cd Sn S O
2 2 2 2
Cartesian
1.129 1.129 1.272
3.386 3.386 6.634
1.129 1.129 4.110
3.386 3.386 3.796
1.129 1.129 6.618
3.386 3.386 1.288
1.129 3.386 3.953
3.386 1.129 3.953
```

## Properties
The volume is 81 Å³/f.u. For the density, the calculation gives 5.8 g cm⁻³.

=====

Model x:
## CdSnSO (PBE)

Data for crystalline CdSnSO at its relaxed geometry.

Cell and atoms, written as POSCAR:
```
CdSnSO
1.0
6.770 0.000 0.000
0.000 12.635 0.000
0.000 0.000 7.473
Cd Sn S O
8 8 8 8
Cartesian
0.153 2.727 0.746
0.153 3.590 4.483
3.232 9.045 0.746
3.232 9.908 4.483
3.538 2.727 2.990
3.538 3.590 6.727
6.617 9.045 2.990
6.617 9.908 6.727
1.435 7.265 4.938
1.435 11.688 1.201
1.950 0.947 4.938
1.950 5.370 1.201
4.820 7.265 6.272
4.820 11.688 2.535
5.335 0.947 6.272
5.335 5.370 2.535
0.049 7.110 1.337
0.049 11.843 5.073
3.336 0.792 1.337
3.336 5.526 5.073
3.434 7.110 2.400
3.434 11.843 6.137
6.722 0.792 2.400
6.722 5.526 6.137
1.441 2.505 6.315
1.441 3.813 2.579
1.944 8.823 6.315
1.944 10.130 2.579
4.826 2.505 4.895
4.826 3.813 1.158
5.330 8.823 4.895
5.330 10.130 1.158
```

## Properties
The volume is 80 Å³/f.u. For the density, the calculation gives 5.8 g cm⁻³.

=====

Model y:
## CdSnSO (PBE)

Data for crystalline CdSnSO at its relaxed geometry.

Cell and atoms, written as POSCAR:
```
CdSnSO
1.0
6.078 0.000 0.000
0.000 3.693 0.000
0.000 0.000 15.398
Cd Sn S O
4 4 4 4
Cartesian
1.301 0.923 1.111
1.738 2.770 8.810
4.340 0.923 6.588
4.777 2.770 14.287
0.918 2.770 4.930
2.121 0.923 12.628
3.957 2.770 2.769
5.160 0.923 10.468
1.303 2.770 14.354
1.736 0.923 6.656
4.342 2.770 8.742
4.775 0.923 1.043
1.014 0.923 9.777
2.025 2.770 2.078
4.053 0.923 13.319
5.064 2.770 5.620
```

## Properties
The volume is 86 Å³/f.u. For the density, the calculation gives 5.4 g cm⁻³.

=====

How far above the most stable structure does each one sit? In kJ/mol of atoms: model w 14.3; model x 8.1; model y 0.0.

=====

Model w:
## Sc2Cd2O5 (PBE)

Data for crystalline Sc2Cd2O5 at its relaxed geometry.

Cell and atoms, written as POSCAR:
```
Sc2Cd2O5
1.0
3.760 0.000 0.000
0.000 3.760 0.000
0.000 0.000 8.920
Sc Cd O
2 2 5
Cartesian
0.000 0.000 0.000
0.000 0.000 4.460
1.880 1.880 2.218
1.880 1.880 6.701
0.000 1.880 1.217
0.000 1.880 7.703
1.880 0.000 1.217
1.880 0.000 7.703
1.880 1.880 4.460
```

## Properties
The volume is 126 Å³/f.u. For the density, the calculation gives 5.2 g cm⁻³.

=====

Model x:
## Sc2Cd2O5 (PBE)

Data for crystalline Sc2Cd2O5 at its relaxed geometry.

Cell and atoms, written as POSCAR:
```
Sc2Cd2O5
1.0
3.972 0.000 0.000
0.000 3.972 0.000
0.000 0.000 7.656
Sc Cd O
2 2 5
Cartesian
0.000 0.000 1.858
0.000 0.000 5.798
1.986 1.986 0.000
1.986 1.986 3.828
0.000 0.000 3.828
0.000 1.986 1.463
0.000 1.986 6.193
1.986 0.000 1.463
1.986 0.000 6.193
```

## Properties
The volume is 121 Å³/f.u. For the density, the calculation gives 5.4 g cm⁻³.

=====

How far above the most stable structure does each one sit? In kJ/mol of atoms: model w 71.2; model x 0.0.

=====

Model w:
## ZnCdSeO (PBE)

Data for crystalline ZnCdSeO at its relaxed geometry.

Cell and atoms, written as POSCAR:
```
ZnCdSeO
1.0
5.838 0.000 0.000
0.000 7.228 0.000
0.000 0.000 7.582
Zn Cd Se O
4 4 4 4
Cartesian
1.013 1.329 0.627
1.906 5.900 4.418
3.932 2.286 6.956
4.825 4.943 3.164
0.921 3.010 5.150
1.998 4.218 1.359
3.840 0.604 2.432
4.917 6.624 6.223
0.011 2.777 2.650
2.908 4.451 6.441
2.930 0.837 4.932
5.827 6.391 1.141
0.084 5.361 4.726
2.834 1.867 0.935
3.003 5.481 2.857
5.753 1.747 6.648
```

## Properties
The volume is 80 Å³/f.u. For the density, the calculation gives 5.7 g cm⁻³.

=====

Model x:
## ZnCdSeO (PBE)

Data for crystalline ZnCdSeO at its relaxed geometry.

Cell and atoms, written as POSCAR:
```
ZnCdSeO
1.0
6.153 0.000 0.000
0.000 3.528 0.000
0.000 0.000 13.656
Zn Cd Se O
4 4 4 4
Cartesian
0.902 0.882 1.391
2.175 2.646 8.219
3.979 0.882 5.436
5.251 2.646 12.264
0.564 2.646 4.382
2.512 0.882 11.210
3.641 2.646 2.446
5.589 0.882 9.273
1.462 2.646 12.886
1.614 0.882 6.058
4.539 2.646 7.597
4.691 0.882 0.770
1.412 2.646 2.342
1.665 0.882 9.169
4.488 2.646 4.486
4.742 0.882 11.314
```

## Properties
The volume is 74 Å³/f.u. For the density, the calculation gives 6.1 g cm⁻³.

=====

Model y:
## ZnCdSeO (PBE)

Data for crystalline ZnCdSeO at its relaxed geometry.

Cell and atoms, written as POSCAR:
```
ZnCdSeO
1.0
4.146 0.000 0.000
0.000 4.146 0.000
0.000 0.000 8.282
Zn Cd Se O
2 2 2 2
Cartesian
1.036 1.036 2.024
3.109 3.109 6.258
1.036 3.109 4.141
3.109 1.036 4.141
1.036 1.036 6.693
3.109 3.109 1.589
1.036 1.036 0.138
3.109 3.109 8.144
```

## Properties
The volume is 71 Å³/f.u. For the density, the calculation gives 6.4 g cm⁻³.

=====

How far above the most stable structure does each one sit? In kJ/mol of atoms: model w 0.0; model x 10.1; model y 69.3.

=====

Model w:
## ZnCdSeO (PBE)

Data for crystalline ZnCdSeO at its relaxed geometry.

Cell and atoms, written as POSCAR:
```
ZnCdSeO
1.0
5.767 0.000 0.000
0.000 3.789 0.000
0.000 0.000 13.352
Zn Cd Se O
4 4 4 4
Cartesian
0.858 0.947 2.545
2.025 2.842 9.221
3.742 0.947 4.131
4.909 2.842 10.806
1.334 2.842 5.469
1.549 0.947 12.145
4.218 2.842 1.207
4.433 0.947 7.883
1.383 0.947 7.731
1.501 2.842 1.055
4.266 0.947 12.296
4.384 2.842 5.621
1.117 2.842 10.927
1.766 0.947 4.251
4.001 2.842 9.100
4.650 0.947 2.425
```

## Properties
The volume is 73 Å³/f.u. For the density, the calculation gives 6.2 g cm⁻³.

=====

Model x:
## ZnCdSeO (PBE)

Data for crystalline ZnCdSeO at its relaxed geometry.

Cell and atoms, written as POSCAR:
```
ZnCdSeO
1.0
1.748 -6.725 0.000
1.748 6.725 0.000
0.000 0.000 6.269
Zn Cd Se O
2 2 2 2
Cartesian
1.748 4.512 3.134
1.748 -4.512 0.000
1.748 0.814 3.612
1.748 -0.814 0.478
1.748 4.224 5.596
1.748 -4.224 2.461
1.748 1.165 5.800
1.748 -1.165 2.665
```

## Properties
The volume is 74 Å³/f.u. For the density, the calculation gives 6.1 g cm⁻³.

=====

How far above the most stable structure does each one sit? In kJ/mol of atoms: model w 0.0; model x 13.4.

=====

Model w:
## ZnCdSeO (PBE)

Data for crystalline ZnCdSeO at its relaxed geometry.

Cell and atoms, written as POSCAR:
```
ZnCdSeO
1.0
6.112 0.000 0.000
0.000 6.330 0.000
0.000 0.000 7.553
Zn Cd Se O
4 4 4 4
Cartesian
0.480 0.934 0.722
2.576 5.396 4.499
3.535 2.231 6.831
5.632 4.100 3.054
0.425 3.504 6.344
2.631 2.826 2.568
3.481 5.991 1.209
5.687 0.339 4.985
0.853 4.796 1.085
2.203 1.535 4.862
3.909 4.700 6.468
5.259 1.630 2.691
0.683 4.748 4.524
2.373 1.583 0.748
3.738 4.748 3.029
5.429 1.582 6.805
```

## Properties
The volume is 73 Å³/f.u. For the density, the calculation gives 6.2 g cm⁻³.

=====

Model x:
## ZnCdSeO (PBE)

Data for crystalline ZnCdSeO at its relaxed geometry.

Cell and atoms, written as POSCAR:
```
ZnCdSeO
1.0
3.592 0.000 0.000
0.000 3.592 0.000
0.000 0.000 11.492
Zn Cd Se O
2 2 2 2
Cartesian
0.898 2.694 0.000
2.694 0.898 0.000
0.898 0.898 4.629
2.694 2.694 6.863
0.898 0.898 9.774
2.694 2.694 1.717
0.898 0.898 6.877
2.694 2.694 4.615
```

## Properties
The volume is 74 Å³/f.u. For the density, the calculation gives 6.1 g cm⁻³.

=====

Model y:
## ZnCdSeO (PBE)

Data for crystalline ZnCdSeO at its relaxed geometry.

Cell and atoms, written as POSCAR:
```
ZnCdSeO
1.0
7.011 0.000 0.000
0.000 7.995 0.000
0.000 0.000 12.485
Zn Cd Se O
8 8 8 8
Cartesian
1.397 1.056 2.594
1.397 2.942 8.837
2.108 5.053 2.594
2.108 6.939 8.837
4.903 1.056 3.649
4.903 2.942 9.891
5.614 5.053 3.649
5.614 6.939 9.891
0.167 1.952 11.671
0.167 2.045 5.428
3.338 5.950 11.671
3.338 6.043 5.428
3.673 1.952 7.057
3.673 2.045 0.815
6.844 5.950 7.057
6.844 6.043 0.815
1.752 0.265 0.276
1.752 3.733 6.518
1.754 4.262 0.276
1.754 7.730 6.518
5.257 0.265 5.967
5.257 3.733 12.210
5.259 4.262 5.967
5.259 7.730 12.210
0.261 5.570 2.937
0.261 6.423 9.180
3.244 1.572 2.937
3.244 2.425 9.180
3.767 5.570 3.306
3.767 6.423 9.548
6.750 1.572 3.306
6.750 2.425 9.548
```

## Properties
The volume is 87 Å³/f.u. For the density, the calculation gives 5.2 g cm⁻³.

=====

How far above the most stable structure does each one sit? In kJ/mol of atoms: model w 0.0; model x 37.8; model y 15.1.